This record from Alexandria via LeMat-Bulk describes an optimized crystal structure of ErThRh2. The functional is GGA-PBE.

Cell lengths 4.256, 3.831, 10.743 Å; angles 90.00, 90.00, 90.00 degrees
Space group Amm2 (No. 38)
Unique sites:
Er: 0.000 0.000 0.000 x2
Th: 0.500 0.000 0.722 x2
Rh: 0.000 0.000 0.272 x2
Rh: 0.500 0.000 0.457 x2

total magnetization	0.0	μB/f.u.
formation enthalpy at 0 K	-0.94	eV per atom